1.
A geometry-optimized Cu4Si structure, computed with PBE-GGA.

Structure (CIF):
```
data_Cu4Si
_space_group_name_H-M_alt 'P -3 m 1'
_space_group_IT_number 164
_space_group_name_Hall '-P 3 2"'
_cell_length_a 2.5910
_cell_length_b 2.5910
_cell_length_c 10.9552
_cell_angle_alpha 90.00
_cell_angle_beta 90.00
_cell_angle_gamma 120.00
loop_
_atom_site_label
_atom_site_fract_x
_atom_site_fract_y
_atom_site_fract_z
Cu1 0.3333 0.6667 0.0947
Cu2 0.3333 0.6667 0.3148
Si1 0.0000 0.0000 0.5000
```

uncorrected formation energy = 0.76 eV/f.u.
ρ = 7.36 g/cm3
magnetic moment = 0.00 Bohr magnetons per cell
relative energy among the computed polymorphs = 4.76 kcal/mol of atoms

=====

2.
A geometry-optimized NaZnGeAu structure, computed with PBE-GGA.

Structure (CIF):
```
data_NaZnGeAu
_space_group_name_H-M_alt 'R 3 m'
_space_group_IT_number 160
_space_group_name_Hall 'R 3 -2"'
_cell_length_a 4.4441
_cell_length_b 4.4441
_cell_length_c 15.1179
_cell_angle_alpha 90.00
_cell_angle_beta 90.00
_cell_angle_gamma 120.00
loop_
_atom_site_label
_atom_site_fract_x
_atom_site_fract_y
_atom_site_fract_z
Na1 0.0000 0.0000 0.0000
Zn1 0.0000 0.0000 0.7950
Ge1 0.0000 0.0000 0.5555
Au1 0.0000 0.0000 0.1900
```

ρ = 6.90 g/cm3
magnetic moment = 0.00 Bohr magnetons per cell
relative energy among the computed polymorphs = 0.00 kcal/mol of atoms